(1)
NbCuNiHg | PBE | optimized geometry

abc: 4.4020 4.4020 4.4020
angles: 60.00 60.00 60.00
Element x y z (fractional)
Cu 0.7500 0.7500 0.7500
Hg 0.5000 0.5000 0.5000
Nb 0.0000 0.0000 0.0000
Ni 0.2500 0.2500 0.2500

The calculation puts the calculated total energy at -4.827 eV per atom. The space group is F-43m (216). The value obtained for the polymorph energy (0 for the lowest one) is 0 meV/atom.

=====

(2)
PrNd3Y2CoTe2 | PBE | optimized geometry

abc: 4.0085 8.5883 8.5883
angles: 120.49 90.00 90.00
Element x y z (fractional)
Co 0.5000 0.9857 0.9857
Nd 0.5000 0.4082 0.0030
Nd 0.5000 0.0030 0.4082
Nd 0.5000 0.5948 0.5948
Pr 0.0000 0.2348 0.2348
Te 0.0000 0.6733 0.3351
Te 0.0000 0.3351 0.6733
Y 0.0000 0.9999 0.7652
Y 0.0000 0.7652 0.9999

The calculation puts the calculated total energy at -5.734 eV per atom. The space group is Amm2 (38).

=====

(3)
DyBiPO | PBE | optimized geometry

abc: 4.9394 6.3968 6.1434
angles: 90.00 90.00 90.00
Element x y z (fractional)
Bi 0.0000 0.2521 0.4449
Bi 0.0000 0.7479 0.9449
Dy 0.5000 0.3224 0.0355
Dy 0.5000 0.6776 0.5355
O 0.5000 0.3795 0.3800
O 0.5000 0.6205 0.8800
P 0.0000 0.8258 0.3936
P 0.0000 0.1742 0.8936

The calculation puts the calculated total energy at -5.938 eV per atom. The space group is Pmc2_1 (26). The value obtained for the polymorph energy (0 for the lowest one) is 94 meV/atom.

=====

(4)
Sm4Bi3Te | PBE | optimized geometry

abc: 7.8279 7.8279 4.5287
angles: 90.00 90.00 109.50
Element x y z (fractional)
Bi 0.5000 0.5000 0.0000
Bi 0.5000 0.0000 0.5000
Bi 0.0000 0.5000 0.5000
Sm 0.7493 0.2507 0.0000
Sm 0.2507 0.7493 0.0000
Sm 0.2520 0.2520 0.5000
Sm 0.7480 0.7480 0.5000
Te 0.0000 0.0000 0.0000

The calculation puts the calculated total energy at -5.344 eV per atom. The space group is Cmmm (65).

=====

Number 3 is which compound?
DyBiPO